one) 8
Lattice="-5.7305 -5.2895 0.4492 5.2998 -5.7386 0.0362 -0.0998 -5.3887 3.1933" Properties=species:S:1:pos:R:3 comment="PBE CrIn2Ag, optimized geometry" spacegroup="I-42d (122)" magmom_total_mub_per_cell=8.1 density_g_cm3=7.2 n_ef_per_ev_atom=0.58 pbc="T T T"
In -2.9713 -5.3956 1.0857
In -0.4266 -13.7184 2.8198
Cr -0.2154 -5.5141 0.2427
Cr 2.4923 -8.3207 1.7361
In 2.5984 -5.5698 0.8749
Ag 0.0000 0.0000 0.0000
Ag -3.0229 -8.0962 1.9426
In -0.2616 -8.1498 2.5768



two) 4
Lattice="4.6350 0.0000 0.0000 0.0000 4.6350 0.0000 0.0000 0.0000 3.6752" Properties=species:S:1:pos:R:3 comment="PBE CrIn2Ag, optimized geometry" spacegroup="P4/mmm (123)" magmom_total_mub_per_cell=3.5 density_g_cm3=8.2 n_ef_per_ev_atom=0.40 pbc="T T T"
Cr 0.0000 2.3175 1.8376
In 0.0000 0.0000 0.0000
In 2.3175 2.3175 0.0000
Ag 2.3175 0.0000 1.8376



three) 4
Lattice="-1.0005 -3.2425 1.3648 2.8534 -1.5779 -1.6571 3.4865 1.0360 5.0171" Properties=species:S:1:pos:R:3 comment="PBE CrIn2Ag, optimized geometry" spacegroup="P4mm (99)" magmom_total_mub_per_cell=4.1 density_g_cm3=7.8 n_ef_per_ev_atom=0.50 pbc="T T T"
Cr 3.5318 -1.6360 3.6030
In 3.3909 1.0076 4.8796
In 1.8718 -2.1293 1.2142
Ag 1.7745 0.5273 2.5536



Short version: two) is the most stable of them.



one) 4
Lattice="-1.2427 -0.5670 -2.8329 2.8324 0.3678 -1.3165 1.4077 -7.6042 0.9043" Properties=species:S:1:pos:R:3 comment="PBE CrIn2Ag, optimized geometry" spacegroup="P4/mmm (123)" magmom_total_mub_per_cell=2.9 density_g_cm3=8.4 n_ef_per_ev_atom=0.47 pbc="T T T"
In 1.3827 -7.4692 0.8883
Cr 1.8506 -5.8027 -1.3965
Ag 1.1468 -2.0006 -1.8486
In 0.7288 -3.9371 0.4682



two) 4
Lattice="-4.7083 2.0030 1.8896 -5.1136 1.2858 -1.3960 -2.6582 -3.8262 1.1631" Properties=species:S:1:pos:R:3 comment="PBE CrIn2Ag, optimized geometry" spacegroup="Cm (8)" magmom_total_mub_per_cell=3.6 density_g_cm3=8.0 n_ef_per_ev_atom=0.49 pbc="T T T"
In -9.8240 3.0683 0.5420
In -9.3190 -0.2395 1.2018
Cr -2.9905 -0.0311 0.3757
Ag -6.4086 -0.3149 0.8592



Short version: one) is the most stable of them.



one) 4
Lattice="0.0000 3.4114 3.4114 3.4114 0.0000 3.4114 3.4114 3.4114 0.0000" Properties=species:S:1:pos:R:3 comment="PBE CrIn2Ag, optimized geometry" spacegroup="Fm-3m (225)" magmom_total_mub_per_cell=3.7 density_g_cm3=8.1 n_ef_per_ev_atom=0.50 pbc="T T T"
Ag 3.4114 3.4114 3.4114
Cr 0.0000 0.0000 0.0000
In 1.7057 1.7057 1.7057
In 5.1171 5.1171 5.1171



two) 4
Lattice="-4.8184 0.7191 2.9026 0.4035 -1.9378 5.3142 1.8979 3.7479 -3.8092" Properties=species:S:1:pos:R:3 comment="PBE CrIn2Ag, optimized geometry" spacegroup="Immm (71)" magmom_total_mub_per_cell=4.1 density_g_cm3=7.7 n_ef_per_ev_atom=0.52 pbc="T T T"
In -2.2053 -0.6088 4.1044
Ag -2.5639 1.9288 1.6009
Cr 0.0470 0.6004 2.8067
In -0.0022 -0.0006 0.0040



Short version: one) is the most stable of them.



one) 10
Lattice="-1.2559 -2.2959 -6.8828 -4.7375 -5.0311 2.5427 -2.0066 1.7753 -0.2260" Properties=species:S:1:pos:R:3 comment="PBE Cr2AgIr2, optimized geometry" spacegroup="P4/mbm (127)" magmom_total_mub_per_cell=0.0 density_g_cm3=13.6 n_ef_per_ev_atom=0.80 pbc="T T T"
Cr -4.6677 -5.3260 -0.3934
Cr -1.3257 -2.0010 -3.9467
Cr -4.0300 -5.1299 -4.5141
Ag -2.9967 -3.6635 -2.1700
Ag 0.0000 0.0000 0.0000
Ir -2.2166 -0.7201 -1.9699
Cr -1.9634 -2.1971 0.1740
Ir -3.6204 -2.6920 -4.9948
Ir -5.7835 -4.8316 -2.5963
Ir -4.3796 -2.8597 0.4287



two) 10
Lattice="-6.2339 3.4806 -1.8678 -3.5489 -3.4027 5.5038 0.6305 2.0164 1.6532" Properties=species:S:1:pos:R:3 comment="PBE Cr2AgIr2, optimized geometry" spacegroup="P4/mbm (127)" magmom_total_mub_per_cell=0.0 density_g_cm3=13.6 n_ef_per_ev_atom=0.86 pbc="T T T"
Cr -6.0929 2.7747 1.1160
Ag -4.8914 0.0389 1.8180
Ir -5.4038 -1.6724 4.1008
Cr -6.7897 0.4717 4.1907
Ir -4.3789 1.7503 -0.4648
Cr -3.0593 -0.6804 4.1732
Ag 0.0000 0.0000 0.0000
Ir -2.1208 -0.8134 1.8009
Ir -7.6619 0.8913 1.8351
Cr -2.3625 1.6226 1.0984



Short version: two) is the most stable of them.



one) 4
Lattice="-6.5277 -7.4770 -2.6312 -4.0525 -8.2937 -4.4978 -4.1539 -9.2782 -1.4485" Properties=species:S:1:pos:R:3 comment="PBE KCrAg2, optimized geometry" spacegroup="R-3m (166)" magmom_total_mub_per_cell=4.0 density_g_cm3=5.7 n_ef_per_ev_atom=0.61 pbc="T T T"
Cr -3.6835 -6.2622 -2.1444
Ag -7.5539 -12.8421 -4.3975
Ag -14.5472 -24.7312 -8.4686
K -11.0506 -18.7867 -6.4331



two) 4
Lattice="-3.7696 3.4051 -0.0452 -4.7136 -1.4120 1.2627 -2.0416 1.5873 4.3725" Properties=species:S:1:pos:R:3 comment="PBE KCrAg2, optimized geometry" spacegroup="F-43m (216)" magmom_total_mub_per_cell=4.9 density_g_cm3=5.5 n_ef_per_ev_atom=0.52 pbc="T T T"
Ag 0.0000 0.0000 0.0000
Cr -5.2624 1.7902 2.7950
K -7.8937 2.6853 4.1925
Ag -2.6312 0.8951 1.3975



Short version: one) is the most stable of them.



one) 4
Lattice="0.0000 4.1447 4.1447 4.1447 0.0000 4.1447 4.1447 4.1447 0.0000" Properties=species:S:1:pos:R:3 comment="PBE K2CrAg, optimized geometry" spacegroup="Fm-3m (225)" magmom_total_mub_per_cell=5.2 density_g_cm3=2.8 n_ef_per_ev_atom=0.28 pbc="T T T"
K 2.0724 2.0724 2.0724
Cr 0.0000 0.0000 0.0000
K 6.2171 6.2171 6.2171
Ag 4.1447 4.1447 4.1447



two) 4
Lattice="6.6154 -0.0837 -0.0229 2.6421 6.0655 0.0229 -4.0830 -3.8354 3.5199" Properties=species:S:1:pos:R:3 comment="PBE K2CrAg, optimized geometry" spacegroup="Imm2 (44)" magmom_total_mub_per_cell=5.0 density_g_cm3=2.8 n_ef_per_ev_atom=0.39 pbc="T T T"
Ag 4.1867 2.7052 0.0000
Cr 2.1153 2.9474 1.7714
K 3.3229 -0.6306 1.7485
K 0.1784 0.1153 0.0000



Short version: two) is the most stable of them.



one) 4
Lattice="-3.4048 0.7842 -2.1968 -0.9136 -4.0536 -0.0310 -5.2717 -3.1295 7.0536" Properties=species:S:1:pos:R:3 comment="PBE K2CrAg, optimized geometry" spacegroup="Pmmm (47)" magmom_total_mub_per_cell=5.3 density_g_cm3=2.8 n_ef_per_ev_atom=0.32 pbc="T T T"
Ag -3.2487 -1.4037 0.6573
K -3.0254 -3.6056 3.4021
Cr -6.3414 -4.9953 4.1686
K -0.9808 -4.0396 0.0782



two) 4
Lattice="5.6121 0.0000 0.0000 2.8061 4.8602 0.0000 2.8061 1.6201 4.5823" Properties=species:S:1:pos:R:3 comment="PBE K2CrAg, optimized geometry" spacegroup="F-43m (216)" magmom_total_mub_per_cell=5.0 density_g_cm3=3.2 n_ef_per_ev_atom=0.31 pbc="T T T"
Cr 8.4182 4.8602 3.4367
K 0.0000 0.0000 0.0000
Ag 5.6121 3.2402 2.2911
K 2.8061 1.6201 1.1456



Short version: two) is the most stable of them.



one) 4
Lattice="5.8050 0.5638 -0.0409 -0.5456 5.8067 -0.0409 0.0303 0.0367 4.2123" Properties=species:S:1:pos:R:3 comment="PBE K2CrAg, optimized geometry" spacegroup="Cmmm (65)" magmom_total_mub_per_cell=5.2 density_g_cm3=2.8 n_ef_per_ev_atom=0.32 pbc="T T T"
K 0.0000 0.0000 0.0000
Cr -0.2577 2.9217 2.0857
K 2.6297 3.1853 -0.0409
Ag 2.9177 0.3002 2.0857



two) 4
Lattice="3.8274 0.0000 0.0000 0.0000 3.8274 0.0000 0.0000 0.0000 10.0694" Properties=species:S:1:pos:R:3 comment="PBE K2CrAg, optimized geometry" spacegroup="P4mm (99)" magmom_total_mub_per_cell=4.8 density_g_cm3=2.7 n_ef_per_ev_atom=0.54 pbc="T T T"
K 1.9137 1.9137 3.3112
K 0.0000 0.0000 9.3191
Cr 1.9137 1.9137 6.6559
Ag 0.0000 0.0000 5.8873



three) 4
Lattice="4.7739 0.0000 0.0000 0.0000 5.1186 0.0154 0.0000 2.5480 6.3336" Properties=species:S:1:pos:R:3 comment="PBE K2CrAg, optimized geometry" spacegroup="Pm (6)" magmom_total_mub_per_cell=5.1 density_g_cm3=2.6 n_ef_per_ev_atom=0.49 pbc="T T T"
Cr 2.3869 4.7905 4.6250
K 2.3869 2.2350 2.0984
Ag 0.0000 4.7920 3.2842
K 0.0000 7.3489 5.8650



four) 4
Lattice="-4.1354 -9.9556 1.8005 -0.3173 -10.5828 2.7132 -2.7877 -9.0647 5.4330" Properties=species:S:1:pos:R:3 comment="PBE K2CrAg, optimized geometry" spacegroup="R-3m (166)" magmom_total_mub_per_cell=5.1 density_g_cm3=2.7 n_ef_per_ev_atom=0.69 pbc="T T T"
Cr -5.4303 -22.2023 7.4600
K -3.6640 -14.9807 5.0336
K -7.1966 -29.4238 9.8865
Ag -1.8101 -7.4008 2.4867



Short version: two) is the most stable of them.



one) 8
Lattice="11.8570 0.0000 0.0000 0.0000 11.8570 0.0000 5.9285 5.9285 2.6896" Properties=species:S:1:pos:R:3 comment="PBE K2CrAg, optimized geometry" spacegroup="I-42d (122)" magmom_total_mub_per_cell=10.0 density_g_cm3=2.1 n_ef_per_ev_atom=0.15 pbc="T T T"
Cr 5.9285 11.8570 1.3448
Ag 0.0000 0.0000 0.0000
Cr 5.9285 5.9285 0.0000
K 8.8927 7.1516 2.0172
K 10.6338 2.9642 0.6724
Ag 11.8570 5.9285 1.3448
K 14.8212 4.7054 2.0172
K 13.0801 8.8927 0.6724



two) 4
Lattice="-2.3108 0.6763 -4.1480 0.0999 -3.3977 -3.3836 -7.6339 -4.3608 0.8328" Properties=species:S:1:pos:R:3 comment="PBE K2CrAg, optimized geometry" spacegroup="Cm (8)" magmom_total_mub_per_cell=4.8 density_g_cm3=2.4 n_ef_per_ev_atom=0.34 pbc="T T T"
Cr -3.3246 -2.2030 -1.2567
K -2.9040 -3.0655 -7.1793
Ag -4.0571 -3.1076 -3.7676
K -6.6922 -4.9687 -5.3762



Short version: two) is the most stable of them.



one) 5
Lattice="5.2484 0.0000 0.0000 0.0000 5.2484 0.0000 0.0000 0.0000 5.2484" Properties=species:S:1:pos:R:3 comment="PBE KCrAg3, optimized geometry" spacegroup="Pm-3m (221)" magmom_total_mub_per_cell=4.6 density_g_cm3=4.8 n_ef_per_ev_atom=0.34 pbc="T T T"
Cr 0.0000 0.0000 0.0000
Ag 0.0000 2.6242 0.0000
K 2.6242 2.6242 2.6242
Ag 2.6242 0.0000 0.0000
Ag 0.0000 0.0000 2.6242



two) 5
Lattice="-0.9560 3.5450 -4.0233 3.1938 -2.9063 -3.3197 -4.3073 -2.9418 -1.5686" Properties=species:S:1:pos:R:3 comment="PBE KCrAg3, optimized geometry" spacegroup="Pm-3m (221)" magmom_total_mub_per_cell=4.6 density_g_cm3=4.3 n_ef_per_ev_atom=0.55 pbc="T T T"
Cr -1.0347 -1.1516 -4.4558
Ag -2.1537 -1.4709 -0.7843
Ag -0.4780 1.7725 -2.0116
K 0.0000 0.0000 0.0000
Ag 1.5969 -1.4532 -1.6598



Short version: one) is the most stable of them.



one) 5
Lattice="-4.6905 2.3489 -0.3919 -1.3885 -3.4010 -3.7652 -1.9346 -3.2539 3.6526" Properties=species:S:1:pos:R:3 comment="PBE KCr3Ag, optimized geometry" spacegroup="Pm-3m (221)" magmom_total_mub_per_cell=14.1 density_g_cm3=3.5 n_ef_per_ev_atom=0.51 pbc="T T T"
Cr -0.6943 -1.7005 -1.8826
Cr -2.3453 1.1744 -0.1960
K -4.0068 -2.1530 -0.2523
Ag 0.0000 0.0000 0.0000
Cr -0.9673 -1.6269 1.8263



two) 5
Lattice="-3.7765 0.2582 -1.8920 -0.8732 -3.9624 1.2021 -1.6982 1.4632 3.5894" Properties=species:S:1:pos:R:3 comment="PBE KCr3Ag, optimized geometry" spacegroup="Pm-3m (221)" magmom_total_mub_per_cell=0.0 density_g_cm3=6.6 n_ef_per_ev_atom=1.59 pbc="T T T"
K 0.0000 0.0000 0.0000
Cr -0.4366 -1.9812 0.6011
Cr -0.8491 0.7316 1.7947
Cr -1.8883 0.1291 -0.9460
Ag -3.1739 -1.1205 1.4498



Short version: one) is the most stable of them.



one) 4
Lattice="-2.5218 -1.2921 -5.6676 1.1830 -0.6708 -6.1888 0.6112 -4.8717 -1.4627" Properties=species:S:1:pos:R:3 comment="PBE La2CrAg, optimized geometry" spacegroup="Cm (8)" magmom_total_mub_per_cell=3.5 density_g_cm3=6.8 n_ef_per_ev_atom=0.96 pbc="T T T"
Cr -0.1251 -1.7897 -3.0223
Ag -0.4296 -3.3229 -7.0148
La -0.5747 -5.0797 -10.1405
La -1.3008 -2.0227 -11.6575



two) 4
Lattice="0.0000 3.7880 3.7880 3.7880 0.0000 3.7880 3.7880 3.7880 0.0000" Properties=species:S:1:pos:R:3 comment="PBE La2CrAg, optimized geometry" spacegroup="Fm-3m (225)" magmom_total_mub_per_cell=3.3 density_g_cm3=6.7 n_ef_per_ev_atom=1.02 pbc="T T T"
Ag 3.7880 3.7880 3.7880
La 1.8940 1.8940 1.8940
Cr 0.0000 0.0000 0.0000
La 5.6820 5.6820 5.6820



three) 4
Lattice="4.1562 -0.0615 0.0251 2.7858 3.0850 0.0251 1.0842 0.4722 8.5554" Properties=species:S:1:pos:R:3 comment="PBE La2CrAg, optimized geometry" spacegroup="C2/m (12)" magmom_total_mub_per_cell=3.0 density_g_cm3=6.5 n_ef_per_ev_atom=0.90 pbc="T T T"
Ag 6.0196 2.6218 6.4542
La 0.0309 0.0134 0.1582
La 3.9822 1.7344 4.1446
Cr 2.0065 0.8739 2.1514



four) 4
Lattice="-0.9524 3.3968 1.3890 -0.1438 -1.4664 3.4876 7.1768 0.1812 4.4778" Properties=species:S:1:pos:R:3 comment="PBE La2CrAg, optimized geometry" spacegroup="P4/mmm (123)" magmom_total_mub_per_cell=3.2 density_g_cm3=6.7 n_ef_per_ev_atom=0.84 pbc="T T T"
Ag 1.2821 1.3771 2.6858
Cr 4.7986 0.7346 6.6685
La 3.5803 -0.6294 3.9942
La 7.1130 0.1681 4.4663



Short version: four) is the most stable of them.